Here is crystalline Zn3GaF at its relaxed geometry from the Alexandria database. Energies are from PBE.

## Properties
V, Å³/f.u.: 89
Raw formation energy, meV/atom: -132
Calculated total energy, eV per cell: -9.38
Excess energy over the best structure of this formula in the dataset, meV per atom: 43

Lattice parameters (Å, degrees): 4.457 4.457 4.457 90.00 90.00 90.00
Atoms (fractional coordinates):
Zn (0.000, 0.000, 0.500)
Zn (0.000, 0.500, 0.000)
Zn (0.500, 0.000, 0.000)
Ga (0.500, 0.500, 0.500)
F (0.000, 0.000, 0.000)